w | Compound: TaMnSN2
Source: Alexandria via LeMat-Bulk
Functional: PBE-GGA
Structure: relaxed

The volume is 12.1 A^3/atom. As for the total magnetic moment: 1.76 μB/cell.

Unit cell a=3.664 b=3.664 c=4.498 alpha=90.00 beta=90.00 gamma=90.00
Element x y z (fractional)
Ta 0.000 0.000 0.000
Mn 0.500 0.500 0.500
S 0.500 0.500 0.000
N 0.000 0.500 0.500
N 0.500 0.000 0.500

x | Compound: TaMnSN2
Source: Alexandria via LeMat-Bulk
Functional: PBE-GGA
Structure: relaxed

The volume is 16.2 A^3/atom. As for the total magnetic moment: 5.42 μB/cell.

Unit cell a=3.970 b=3.970 c=5.130 alpha=90.00 beta=90.00 gamma=90.00
Element x y z (fractional)
Ta 0.000 0.000 0.000
Mn 0.500 0.500 0.500
S 0.000 0.000 0.500
N 0.000 0.500 0.000
N 0.500 0.000 0.000

Ordering by calculated energy gives the sequence x, w, with the first entry being the most stable.

w | Compound: MnTcS2N
Source: Alexandria via LeMat-Bulk
Functional: PBE-GGA
Structure: relaxed

The volume is 16.7 A^3/atom. As for the total magnetic moment: 0.42 μB/cell.

Unit cell a=4.760 b=4.760 c=3.675 alpha=90.00 beta=90.00 gamma=90.00
Element x y z (fractional)
Mn 0.000 0.000 0.000
Tc 0.500 0.500 0.500
S 0.000 0.500 0.500
S 0.500 0.000 0.500
N 0.500 0.500 0.000

x | Compound: MnTcS2N
Source: Alexandria via LeMat-Bulk
Functional: PBE-GGA
Structure: relaxed

The volume is 14.8 A^3/atom. As for the total magnetic moment: 4.41 μB/cell.

Unit cell a=4.651 b=4.651 c=3.424 alpha=90.00 beta=90.00 gamma=90.00
Element x y z (fractional)
Mn 0.000 0.000 0.000
Tc 0.500 0.500 0.500
S 0.000 0.500 0.000
S 0.500 0.000 0.000
N 0.000 0.000 0.500

Ordering by calculated energy gives the sequence x, w, with the first entry being the most stable.

w | Compound: TiMnS2N
Source: Alexandria via LeMat-Bulk
Functional: PBE-GGA
Structure: relaxed

The volume is 17.5 A^3/atom. As for the total magnetic moment: 4.16 μB/cell.

Unit cell a=4.820 b=4.820 c=3.774 alpha=90.00 beta=90.00 gamma=90.00
Element x y z (fractional)
Ti 0.000 0.000 0.000
Mn 0.500 0.500 0.500
S 0.000 0.500 0.000
S 0.500 0.000 0.000
N 0.000 0.000 0.500

x | Compound: TiMnS2N
Source: Alexandria via LeMat-Bulk
Functional: PBE-GGA
Structure: relaxed

The volume is 14.8 A^3/atom. As for the total magnetic moment: 1.03 μB/cell.

Unit cell a=4.622 b=4.622 c=3.454 alpha=90.00 beta=90.00 gamma=90.00
Element x y z (fractional)
Ti 0.000 0.000 0.000
Mn 0.500 0.500 0.500
S 0.000 0.500 0.500
S 0.500 0.000 0.500
N 0.500 0.500 0.000

Ordering by calculated energy gives the sequence w, x, with the first entry being the most stable.

w | Compound: MnTlSN2
Source: Alexandria via LeMat-Bulk
Functional: PBE-GGA
Structure: relaxed

The volume is 20.4 A^3/atom. As for the total magnetic moment: 7.54 μB/cell.

Unit cell a=4.194 b=4.194 c=5.788 alpha=90.00 beta=90.00 gamma=90.00
Element x y z (fractional)
Mn 0.000 0.000 0.000
Tl 0.500 0.500 0.500
S 0.500 0.500 0.000
N 0.000 0.500 0.500
N 0.500 0.000 0.500

x | Compound: MnTlSN2
Source: Alexandria via LeMat-Bulk
Functional: PBE-GGA
Structure: relaxed

The volume is 14.2 A^3/atom. As for the total magnetic moment: 0.00 μB/cell.

Unit cell a=3.722 b=3.722 c=5.135 alpha=90.00 beta=90.00 gamma=90.00
Element x y z (fractional)
Mn 0.000 0.000 0.000
Tl 0.500 0.500 0.500
S 0.000 0.000 0.500
N 0.000 0.500 0.000
N 0.500 0.000 0.000

Ordering by calculated energy gives the sequence x, w, with the first entry being the most stable.

w | Compound: MnVS2N
Source: Alexandria via LeMat-Bulk
Functional: PBE-GGA
Structure: relaxed

The volume is 14.3 A^3/atom. As for the total magnetic moment: 0.58 μB/cell.

Unit cell a=4.579 b=4.579 c=3.415 alpha=90.00 beta=90.00 gamma=90.00
Element x y z (fractional)
Mn 0.000 0.000 0.000
V 0.500 0.500 0.500
S 0.000 0.500 0.000
S 0.500 0.000 0.000
N 0.000 0.000 0.500

x | Compound: MnVS2N
Source: Alexandria via LeMat-Bulk
Functional: PBE-GGA
Structure: relaxed

The volume is 16.2 A^3/atom. As for the total magnetic moment: 5.05 μB/cell.

Unit cell a=4.733 b=4.733 c=3.611 alpha=90.00 beta=90.00 gamma=90.00
Element x y z (fractional)
Mn 0.000 0.000 0.000
V 0.500 0.500 0.500
S 0.000 0.500 0.500
S 0.500 0.000 0.500
N 0.500 0.500 0.000

Ordering by calculated energy gives the sequence x, w, with the first entry being the most stable.

w | Compound: MnZnS2N
Source: Alexandria via LeMat-Bulk
Functional: PBE-GGA
Structure: relaxed

The volume is 15.4 A^3/atom. As for the total magnetic moment: 1.66 μB/cell.

Unit cell a=4.723 b=4.723 c=3.460 alpha=90.00 beta=90.00 gamma=90.00
Element x y z (fractional)
Mn 0.000 0.000 0.000
Zn 0.500 0.500 0.500
S 0.000 0.500 0.000
S 0.500 0.000 0.000
N 0.000 0.000 0.500

x | Compound: MnZnS2N
Source: Alexandria via LeMat-Bulk
Functional: PBE-GGA
Structure: relaxed

The volume is 16.6 A^3/atom. As for the total magnetic moment: 2.00 μB/cell.

Unit cell a=4.771 b=4.771 c=3.647 alpha=90.00 beta=90.00 gamma=90.00
Element x y z (fractional)
Mn 0.000 0.000 0.000
Zn 0.500 0.500 0.500
S 0.000 0.500 0.500
S 0.500 0.000 0.500
N 0.500 0.500 0.000

Ordering by calculated energy gives the sequence w, x, with the first entry being the most stable.

w | Compound: ZrMnS2N
Source: Alexandria via LeMat-Bulk
Functional: PBE-GGA
Structure: relaxed

The volume is 20.9 A^3/atom. As for the total magnetic moment: 4.28 μB/cell.

Unit cell a=5.063 b=5.063 c=4.067 alpha=90.00 beta=90.00 gamma=90.00
Element x y z (fractional)
Zr 0.000 0.000 0.000
Mn 0.500 0.500 0.500
S 0.000 0.500 0.000
S 0.500 0.000 0.000
N 0.000 0.000 0.500

x | Compound: ZrMnS2N
Source: Alexandria via LeMat-Bulk
Functional: PBE-GGA
Structure: relaxed

The volume is 14.8 A^3/atom. As for the total magnetic moment: 0.46 μB/cell.

Unit cell a=4.617 b=4.617 c=3.474 alpha=90.00 beta=90.00 gamma=90.00
Element x y z (fractional)
Zr 0.000 0.000 0.000
Mn 0.500 0.500 0.500
S 0.000 0.500 0.500
S 0.500 0.000 0.500
N 0.500 0.500 0.000

Ordering by calculated energy gives the sequence x, w, with the first entry being the most stable.

w | Compound: Mn2SbN3
Source: Alexandria via LeMat-Bulk
Functional: PBE-GGA
Structure: relaxed

The volume is 12.5 A^3/atom. As for the total magnetic moment: 7.75 μB/cell.

Unit cell a=7.232 b=7.232 c=8.074 alpha=92.18 beta=92.18 gamma=134.60
Element x y z (fractional)
Mn 0.006 0.685 0.569
Mn 0.039 0.520 0.845
Mn 0.315 0.994 0.931
Mn 0.480 0.961 0.655
Mn 0.520 0.039 0.345
Mn 0.685 0.006 0.069
Mn 0.961 0.480 0.155
Mn 0.994 0.315 0.431
Sb 0.269 0.291 0.112
Sb 0.291 0.269 0.612
Sb 0.709 0.731 0.388
Sb 0.731 0.709 0.888
N 0.013 0.314 0.997
N 0.066 0.934 0.750
N 0.165 0.566 0.622
N 0.271 0.729 0.250
N 0.314 0.013 0.497
N 0.434 0.835 0.878
N 0.566 0.165 0.122
N 0.686 0.987 0.503
N 0.729 0.271 0.750
N 0.835 0.434 0.378
N 0.934 0.066 0.250
N 0.987 0.686 0.003

x | Compound: Mn2SbN3
Source: Alexandria via LeMat-Bulk
Functional: PBE-GGA
Structure: relaxed

The volume is 12.2 A^3/atom. As for the total magnetic moment: 0.00 μB/cell.

Unit cell a=5.408 b=5.408 c=5.419 alpha=90.00 beta=90.00 gamma=67.02
Element x y z (fractional)
Mn 0.052 0.372 0.000
Mn 0.372 0.052 0.500
Mn 0.628 0.948 0.000
Mn 0.948 0.628 0.500
Sb 0.374 0.626 0.924
Sb 0.626 0.374 0.424
N 0.129 0.308 0.672
N 0.270 0.730 0.526
N 0.308 0.129 0.172
N 0.692 0.871 0.672
N 0.730 0.270 0.026
N 0.871 0.692 0.172

Ordering by calculated energy gives the sequence x, w, with the first entry being the most stable.